HgMoH3 PBE optimized geometry; total magnetization = 0.9 μB per formula unit; ΔE to the lowest computed polymorph = 0.784 eV per atom; space group = No. 221
1.0
3.6911 0.0000 0.0000
0.0000 3.6911 0.0000
0.0000 0.0000 3.6911
Hg Mo H
1 1 3
Cartesian
0.0000 0.0000 0.0000
1.8456 1.8456 1.8456
0.0000 0.0000 1.8456
0.0000 1.8456 0.0000
1.8456 0.0000 0.0000